DFT (GGA-PBE) results for a relaxed SbAsO2 crystal.

The density of states at the Fermi level comes out at 0.170 states/eV/atom. The calculation puts the energy at -4.928 eV per atom. The energy above the most stable polymorph in this dataset is 351 meV/atom.

The structure belongs to space group I-42d (No. 122); the cell edges are 5.476, 5.476 and 9.673 Å and the angles 90.00°, 90.00° and 90.00°. The distinct sites, in fractional coordinates, are Sb at (0.000, 0.000, 0.000), As at (0.000, 0.000, 0.500) and O at (0.137, 0.250, 0.625).


DFT (GGA-PBE) results for a relaxed Sr6Sb2AsO crystal.

The density of states at the Fermi level comes out at 0.327 states/eV/atom. The calculation puts the energy at -3.950 eV per atom.

The structure belongs to space group P4/mmm (No. 123); the cell edges are 5.638, 5.638 and 10.801 Å and the angles 90.00°, 90.00° and 90.00°. The distinct sites, in fractional coordinates, are Sr at (0.000, 0.000, 0.226), Sr at (0.000, 0.500, 0.000), Sr at (0.000, 0.500, 0.500), Sb at (0.500, 0.500, 0.226), As at (0.000, 0.000, 0.500) and O at (0.000, 0.000, 0.000).


DFT (GGA-PBE) results for a relaxed SrSbAsO6 crystal.

The density of states at the Fermi level comes out at 0.000 states/eV/atom. The calculation puts the energy at -6.298 eV per atom.

The structure belongs to space group P312 (No. 149); the cell edges are 5.1603, 5.1603 and 5.4681 Å and the angles 90.00°, 90.00° and 120.00°. The distinct sites, in fractional coordinates, are Sr at (0.0000, 0.0000, 0.0000), Sb at (0.6667, 0.3333, 0.5000), As at (0.3333, 0.6667, 0.5000) and O at (0.0196, 0.3899, 0.6992).